Entry 1:
NaTc2I after structural relaxation, computed with PBE.

- Offset from the most stable computed form: 0.000 eV/atom
- DOS(E_F): 1.38 states/eV/atom
- Crystal system: cubic
- Energy relative to the elements, uncorrected: 4.690 eV/f.u.

```
4
Lattice="0.000 3.220 3.220 3.220 0.000 3.220 3.220 3.220 0.000" Properties=species:S:1:pos:R:3 pbc="T T T"
Na 0.000 0.000 0.000
Tc 1.610 1.610 1.610
Tc 4.831 4.831 4.831
I 3.220 3.220 3.220
```

=====

Entry 2:
PrAg4Au after structural relaxation, computed with PBE.

- E_form: -1.3 eV/f.u.
- DOS(E_F): 0.97 states/eV/atom
- Crystal system: cubic

```
6
Lattice="0.000 3.947 3.947 3.947 0.000 3.947 3.947 3.947 0.000" Properties=species:S:1:pos:R:3 pbc="T T T"
Pr 0.000 0.000 0.000
Ag 2.965 2.965 2.965
Ag 4.928 4.928 2.965
Ag 4.928 2.965 4.928
Ag 2.965 4.928 4.928
Au 5.920 5.920 5.920
```